The following is a DFT calculation (GGA-PBE) of a relaxed structure of SrSb2TeO.

abc: 6.1327 6.1327 5.9528
angles: 90.00 90.00 90.00
Last column: nearest neighbours and their distance in Å.
Space group P4/mmm (No. 123)
Inequivalent atoms, fractional coordinates:
Sr  0.0000  0.0000  0.0000  2 Te 2.98, 4 Sb 3.07
Sb  0.0000  0.5000  0.0000  2 Sr 3.07
Te  0.0000  0.0000  0.5000  2 Sr 2.98
O  0.5000  0.5000  0.5000  8 Sb 4.27, 4 Te 4.34

Output
formation energy from raw total energies	1.201	eV per atom
calculated total energy	-12.02	eV for the cell shown
energy relative to the lowest polymorph listed for this composition	1763	meV/atom